# 1
Density functional theory data (PBE) for LaNd2Tl3Te6 after structural relaxation.

Structure (POSCAR):
```
LaNd2Tl3Te6
1.0
7.971 0.000 0.000
-3.984 6.904 0.000
-1.329 -2.302 8.162
La Nd Tl Te
1 2 3 6
Cartesian
0.000 0.000 0.000
0.001 4.603 0.000
3.986 2.301 0.000
-2.664 4.607 4.081
5.321 -0.005 4.081
1.329 2.301 4.081
4.001 2.275 6.356
2.644 4.577 1.801
-1.343 2.326 1.806
-0.029 4.602 6.356
0.014 0.025 6.362
2.686 -0.001 1.806
```

Computed properties:
- total moment (μB per cell) = 0.0
- total energy (eV/atom) = -4.47
- ΔE_f (raw) (eV/atom) = -1.10

***

# 2
Density functional theory data (PBE) for LaNdTlTe after structural relaxation.

Structure (POSCAR):
```
LaNdTlTe
1.0
4.569 0.000 0.000
0.000 4.569 0.000
0.000 0.000 6.463
La Nd Tl Te
1 1 1 1
Cartesian
2.285 2.285 0.000
0.000 0.000 3.232
0.000 0.000 0.000
2.285 2.285 3.232
```

Computed properties:
- total moment (μB per cell) = 0.0
- total energy (eV/atom) = -4.70
- ΔE_f (raw) (eV/atom) = -0.90

***

# 3
Density functional theory data (PBE) for La3NdTm2Te6 after structural relaxation.

Structure (POSCAR):
```
La3NdTm2Te6
1.0
4.435 0.000 0.000
0.000 9.030 0.277
-2.218 -2.650 9.411
La Nd Tm Te
3 1 2 6
Cartesian
2.218 4.515 0.138
2.218 -0.280 6.414
0.000 6.660 3.273
2.218 0.000 0.000
2.218 4.269 6.483
0.000 2.112 3.204
0.000 6.379 6.494
2.218 4.248 3.399
2.218 0.002 3.193
0.000 2.225 0.201
2.218 4.155 9.486
0.000 2.133 6.288
```

Computed properties:
- total moment (μB per cell) = 0.0
- total energy (eV/atom) = -5.38
- ΔE_f (raw) (eV/atom) = -1.43

***

# 4
Density functional theory data (PBE) for LaNdTmTe3 after structural relaxation.

Structure (POSCAR):
```
LaNdTmTe3
1.0
4.517 0.000 0.000
0.000 8.650 -0.563
0.000 -2.880 10.138
La Nd Tm Te
2 2 2 6
Cartesian
1.129 0.911 2.213
3.387 4.859 7.362
1.129 5.218 0.834
3.387 0.551 8.741
1.129 -0.572 6.198
3.387 6.341 3.377
3.387 7.470 0.552
1.129 -1.700 9.023
1.129 5.098 4.885
3.387 0.671 4.690
3.387 3.328 1.890
1.129 2.442 7.685
```

Computed properties:
- total moment (μB per cell) = 0.0
- total energy (eV/atom) = -5.21
- ΔE_f (raw) (eV/atom) = -1.28

***

# 5
Density functional theory data (PBE) for La4NdTm3Te8 after structural relaxation.

Structure (POSCAR):
```
La4NdTm3Te8
1.0
-7.551 4.354 -1.637
-4.704 -7.424 1.949
5.768 3.200 5.928
La Nd Tm Te
4 1 3 8
Cartesian
-3.775 2.177 -0.819
-0.891 3.777 2.146
0.000 0.000 0.000
2.884 1.600 2.964
-2.352 -3.712 0.975
-6.127 -1.535 0.156
-3.243 0.065 3.120
0.532 -2.112 3.939
0.355 -1.210 6.861
-2.459 -2.772 3.968
-0.255 0.747 3.162
-3.329 0.914 6.062
-3.158 -0.784 0.179
-6.231 -0.617 3.079
-4.028 2.902 2.272
-6.842 1.340 -0.620
```

Computed properties:
- total moment (μB per cell) = 0.0
- total energy (eV/atom) = -5.36
- ΔE_f (raw) (eV/atom) = -1.42

***

# 6
Density functional theory data (PBE) for La2NdTmTe5 after structural relaxation.

Structure (POSCAR):
```
La2NdTmTe5
1.0
5.461 0.000 0.000
0.000 5.461 0.000
0.000 0.000 11.750
La Nd Tm Te
2 1 1 5
Cartesian
2.731 2.731 3.854
2.731 2.731 7.897
0.000 0.000 0.000
0.000 0.000 5.875
0.000 2.731 5.875
2.731 0.000 5.875
0.000 0.000 8.804
0.000 0.000 2.946
2.731 2.731 0.000
```

Computed properties:
- total moment (μB per cell) = 1.1
- total energy (eV/atom) = -4.87
- ΔE_f (raw) (eV/atom) = -1.00

***

# 7
Density functional theory data (PBE) for LaNd2TmTe5 after structural relaxation.

Structure (POSCAR):
```
LaNd2TmTe5
1.0
-5.450 0.692 -0.063
-0.609 -4.994 -2.206
-0.723 -4.710 10.862
La Nd Tm Te
1 2 1 5
Cartesian
0.000 0.000 0.000
-3.278 -3.768 2.595
-3.504 -5.244 5.999
-0.362 -2.355 5.431
-0.666 -4.852 4.328
-3.086 -2.009 5.400
-0.541 -3.521 8.121
-0.183 -1.189 2.741
-3.029 -2.151 -1.134
```

Computed properties:
- total moment (μB per cell) = 0.3
- total energy (eV/atom) = -4.76
- ΔE_f (raw) (eV/atom) = -0.92

***

# 8
Density functional theory data (PBE) for LaNd2Tm3Te6 after structural relaxation.

Structure (POSCAR):
```
LaNd2Tm3Te6
1.0
4.339 0.000 0.000
0.000 8.997 0.108
-2.169 -2.815 9.319
La Nd Tm Te
1 2 3 6
Cartesian
2.169 0.000 0.000
2.169 4.096 6.252
0.000 2.086 3.175
2.169 4.498 0.054
2.169 -0.388 6.244
0.000 6.570 3.183
0.000 6.465 6.212
2.169 4.437 3.089
2.169 -0.283 3.215
2.169 -0.432 9.296
0.000 6.614 0.131
0.000 1.745 6.338
```

Computed properties:
- total moment (μB per cell) = 0.0
- total energy (eV/atom) = -5.23
- ΔE_f (raw) (eV/atom) = -1.34

***

# 9
Density functional theory data (PBE) for La3NdTm3Te8 after structural relaxation.

Structure (POSCAR):
```
La3NdTm3Te8
1.0
-7.181 1.363 4.936
0.163 -6.634 -5.811
4.972 -0.463 7.362
La Nd Tm Te
3 1 3 8
Cartesian
0.000 0.000 0.000
0.082 -3.317 -2.905
-3.509 -2.635 -0.437
2.486 -0.231 3.681
-1.104 0.450 6.149
-1.023 -2.866 3.244
2.568 -3.548 0.776
-0.416 -3.182 0.274
-1.630 -2.551 6.213
-3.978 -2.325 2.735
1.932 -3.408 3.752
-4.055 0.801 5.473
2.009 -6.534 1.014
-0.670 0.158 3.147
-1.375 -5.891 3.340
```

Computed properties:
- total moment (μB per cell) = 0.0
- total energy (eV/atom) = -5.32
- ΔE_f (raw) (eV/atom) = -1.45

***

# 10
Density functional theory data (PBE) for La2Nd3TmTe6 after structural relaxation.

Structure (POSCAR):
```
La2Nd3TmTe6
1.0
4.467 0.000 0.000
0.000 9.045 0.350
-2.234 -2.578 9.442
La Nd Tm Te
2 3 1 6
Cartesian
2.234 4.296 6.512
0.000 2.171 3.280
2.234 4.522 0.175
2.234 -0.204 6.241
0.000 6.671 3.551
2.234 0.000 0.000
0.000 6.594 6.752
2.234 4.457 3.320
2.234 -0.127 3.040
2.234 -0.424 9.461
0.000 6.890 0.331
0.000 2.010 6.472
```

Computed properties:
- total moment (μB per cell) = 0.0
- total energy (eV/atom) = -5.39
- ΔE_f (raw) (eV/atom) = -1.44

***

# 11
Density functional theory data (PBE) for La3Nd2TmTe6 after structural relaxation.

Structure (POSCAR):
```
La3Nd2TmTe6
1.0
4.487 0.000 0.000
0.000 9.051 0.353
-2.244 -2.579 9.468
La Nd Tm Te
3 2 1 6
Cartesian
2.244 4.526 0.176
2.244 -0.194 6.274
0.000 6.667 3.547
2.244 4.305 6.502
0.000 2.168 3.319
2.244 0.000 0.000
0.000 6.546 6.783
2.244 4.393 3.357
2.244 -0.073 3.039
2.244 -0.451 9.545
0.000 6.924 0.277
0.000 2.079 6.464
```

Computed properties:
- total moment (μB per cell) = 0.0
- total energy (eV/atom) = -5.44
- ΔE_f (raw) (eV/atom) = -1.47

***

# 12
Density functional theory data (PBE) for La3Nd3YTe8 after structural relaxation.

Structure (POSCAR):
```
La3Nd3YTe8
1.0
9.011 0.000 0.000
-4.506 7.804 -0.027
0.000 -5.177 7.438
La Nd Y Te
3 3 1 8
Cartesian
0.000 0.000 0.000
-2.253 3.902 -0.014
2.253 3.902 -0.014
4.506 -2.588 3.719
2.253 1.314 3.706
-2.253 1.313 3.706
0.000 -2.589 3.719
0.000 2.608 1.879
4.506 0.019 5.532
4.506 2.619 1.888
0.000 0.009 5.523
6.768 -1.299 1.902
-2.262 3.926 5.509
2.244 -1.299 1.902
2.262 3.927 5.509
```

Computed properties:
- total moment (μB per cell) = 0.0
- total energy (eV/atom) = -5.56
- ΔE_f (raw) (eV/atom) = -1.52

***

Q: Among the records above, which one has the lowest ΔE_f (raw)?
A: La3Nd3YTe8

***

Q: What is the formula in the third record?
A: La3NdTm2Te6

***

Q: Among the records above, which one has the lowest total energy?
A: La3Nd3YTe8

***

Q: What is the formula in the eighth record?
A: LaNd2Tm3Te6